{"formula": "MnZn2HRh", "functional": "PBE", "state": "optimized geometry", "lattice": [[-3.9764, -1.0720, -0.3585], [0.0666, -1.5308, 3.8395], [-0.9239, 3.0193, 1.2198]], "species": ["Zn", "Zn", "H", "Mn", "Rh"], "frac_coords": [[0.0000, 0.5000, 0.0000], [0.5000, 0.0000, 0.0000], [0.0000, 0.0000, 0.0000], [0.0000, 0.0000, 0.5000], [0.5000, 0.5000, 0.5000]], "energy_ev_per_cell": -22.7, "total_magnetization_mub_per_cell": 3.353}